Entry 1:
The following is a PBE calculation of a geometry-optimized MnBeIr structure, from Alexandria.

Unit cell a=8.245 b=3.788 c=5.042 alpha=90.00 beta=115.93 gamma=90.00
Space group Cm (No. 8)
One atom of each set of equivalent atoms:
Mn1 0.000 0.000 0.000 [2 per cell]
Mn2 0.201 0.500 0.363 [2 per cell]
Be1 0.175 0.500 0.857 [2 per cell]
Be2 0.373 0.000 0.651 [2 per cell]
Ir1 0.054 0.000 0.551 [2 per cell]
Ir2 0.339 0.000 0.135 [2 per cell]

Computed properties:
Energy above the lowest structure with this stoichiometry, meV/atom: 176.3
Uncorrected energy, eV/cell: -89.494
DOS at the Fermi energy, states/eV per cell: 9.970
Formation enthalpy at 0 K, eV/atom: -0.21
Total moment, μB per formula unit: 2.8

=====

Entry 2:
The following is a PBE calculation of a geometry-optimized MnBeIr structure, from Alexandria.

Unit cell a=5.382 b=5.382 c=5.382 alpha=90.00 beta=90.00 gamma=90.00
Space group F-43m (No. 216)
One atom of each set of equivalent atoms:
Mn1 0.000 0.000 0.000 [4 per cell]
Be1 0.250 0.250 0.250 [4 per cell]
Ir1 0.000 0.000 0.500 [4 per cell]

Computed properties:
Energy above the lowest structure with this stoichiometry, meV/atom: 328.4
Uncorrected energy, eV/cell: -87.668
DOS at the Fermi energy, states/eV per cell: 6.993
Formation enthalpy at 0 K, eV/atom: -0.05
Total moment, μB per formula unit: 3.8

=====

Entry 3:
The following is a PBE calculation of a geometry-optimized Mn2BeIr2 structure, from Alexandria.

Unit cell a=3.800 b=3.800 c=9.867 alpha=90.00 beta=90.00 gamma=90.00
Space group I4/mmm (No. 139)
One atom of each set of equivalent atoms:
Mn1 0.000 0.000 0.096 [4 per cell]
Be1 0.000 0.000 0.500 [2 per cell]
Ir1 0.000 0.500 0.250 [4 per cell]

Computed properties:
Energy above the lowest structure with this stoichiometry, meV/atom: 241.0
Uncorrected energy, eV/cell: -75.179
DOS at the Fermi energy, states/eV per cell: 8.027
Formation enthalpy at 0 K, eV/atom: 0.44
Total moment, μB per formula unit: 0.0

=====

Entry 4:
The following is a PBE calculation of a geometry-optimized MnBeIr structure, from Alexandria.

Unit cell a=2.735 b=2.735 c=8.844 alpha=90.00 beta=90.00 gamma=90.00
Space group I4mm (No. 107)
One atom of each set of equivalent atoms:
Mn1 0.000 0.000 0.000 [2 per cell]
Be1 0.000 0.000 0.348 [2 per cell]
Ir1 0.000 0.000 0.686 [2 per cell]

Computed properties:
Energy above the lowest structure with this stoichiometry, meV/atom: 112.9
Uncorrected energy, eV/cell: -45.127
DOS at the Fermi energy, states/eV per cell: 4.531
Formation enthalpy at 0 K, eV/atom: -0.27
Total moment, μB per formula unit: 0.5